Entry 1:
# LiLuHf PBE-GGA optimized geometry
# Formation energy, meV/atom: 196
# SG: P3m1
# Magnetization, μB per formula unit: 0.000
# Crystal system: trigonal
data_LiLuHf
_chemical_formula_sum 'Li1 Lu1 Hf1'
_cell_length_a 3.209
_cell_length_b 3.209
_cell_length_c 8.172
_cell_angle_alpha 90.00
_cell_angle_beta 90.00
_cell_angle_gamma 120.00
_symmetry_space_group_name_H-M 'P 1'
_symmetry_Int_Tables_number 1
loop_
_symmetry_equiv_pos_as_xyz
'x,y,z'
loop_
_atom_site_label
_atom_site_fract_x
_atom_site_fract_y
_atom_site_fract_z
Lu1 0.333 0.667 0.651
Hf1 0.667 0.333 0.339
Li1 0.000 0.000 0.010

Entry 2:
# Ti3VSn PBE-GGA optimized geometry
# Formation energy, meV/atom: 456
# SG: Pm-3m
# Magnetization, μB per formula unit: 1.232
# Crystal system: cubic
data_Ti3VSn
_chemical_formula_sum 'Ti3 V1 Sn1'
_cell_length_a 4.587
_cell_length_b 4.587
_cell_length_c 4.587
_cell_angle_alpha 90.00
_cell_angle_beta 90.00
_cell_angle_gamma 90.00
_symmetry_space_group_name_H-M 'P 1'
_symmetry_Int_Tables_number 1
loop_
_symmetry_equiv_pos_as_xyz
'x,y,z'
loop_
_atom_site_label
_atom_site_fract_x
_atom_site_fract_y
_atom_site_fract_z
V1 0.000 0.000 0.000
Sn1 0.500 0.500 0.500
Ti1 0.000 0.500 0.000
Ti2 0.000 0.000 0.500
Ti3 0.500 0.000 0.000

Entry 3:
# NaCdCoPb2 PBE-GGA optimized geometry
# Formation energy, meV/atom: 111
# SG: P4/mmm
# Magnetization, μB per formula unit: 0.298
# Crystal system: tetragonal
data_NaCdCoPb2
_chemical_formula_sum 'Na1 Cd1 Co1 Pb2'
_cell_length_a 5.073
_cell_length_b 5.073
_cell_length_c 5.149
_cell_angle_alpha 90.00
_cell_angle_beta 90.00
_cell_angle_gamma 90.00
_symmetry_space_group_name_H-M 'P 1'
_symmetry_Int_Tables_number 1
loop_
_symmetry_equiv_pos_as_xyz
'x,y,z'
loop_
_atom_site_label
_atom_site_fract_x
_atom_site_fract_y
_atom_site_fract_z
Pb1 0.000 0.500 0.000
Pb2 0.500 0.000 0.000
Na1 0.500 0.500 0.500
Co1 0.000 0.000 0.000
Cd1 0.000 0.000 0.500

Entry 4:
# LiOs2Se PBE-GGA optimized geometry
# SG: P4mm
# Magnetization, μB per formula unit: 0.000
# Crystal system: tetragonal
# Uncorrected energy, eV per atom: -6.705
data_LiOs2Se
_chemical_formula_sum 'Li1 Os2 Se1'
_cell_length_a 2.879
_cell_length_b 2.879
_cell_length_c 7.567
_cell_angle_alpha 90.00
_cell_angle_beta 90.00
_cell_angle_gamma 90.00
_symmetry_space_group_name_H-M 'P 1'
_symmetry_Int_Tables_number 1
loop_
_symmetry_equiv_pos_as_xyz
'x,y,z'
loop_
_atom_site_label
_atom_site_fract_x
_atom_site_fract_y
_atom_site_fract_z
Li1 0.500 0.500 0.758
Os1 0.000 0.000 0.022
Os2 0.500 0.500 0.235
Se1 0.000 0.000 0.485

Entry 5:
# Na5Cd2Pd PBE-GGA optimized geometry
# Formation energy, meV/atom: -78
# SG: Pbam
# Magnetization, μB per formula unit: 0.000
# Crystal system: orthorhombic
data_Na5Cd2Pd
_chemical_formula_sum 'Na10 Cd4 Pd2'
_cell_length_a 3.793
_cell_length_b 7.440
_cell_length_c 14.717
_cell_angle_alpha 90.00
_cell_angle_beta 90.00
_cell_angle_gamma 90.00
_symmetry_space_group_name_H-M 'P 1'
_symmetry_Int_Tables_number 1
loop_
_symmetry_equiv_pos_as_xyz
'x,y,z'
loop_
_atom_site_label
_atom_site_fract_x
_atom_site_fract_y
_atom_site_fract_z
Na1 0.000 0.000 0.000
Na2 0.000 0.500 0.500
Na3 0.000 0.477 0.739
Na4 0.000 0.523 0.261
Na5 0.000 0.023 0.239
Na6 0.000 0.977 0.761
Na7 0.500 0.279 0.890
Na8 0.500 0.721 0.110
Na9 0.500 0.221 0.390
Na10 0.500 0.779 0.610
Cd1 0.500 0.198 0.606
Cd2 0.500 0.802 0.394
Cd3 0.500 0.302 0.106
Cd4 0.500 0.698 0.894
Pd1 0.000 0.000 0.500
Pd2 0.000 0.500 0.000

Entry 6:
# Pr5Y3Er3 PBE-GGA optimized geometry
# Formation energy, meV/atom: 307
# SG: P-62m
# Magnetization, μB per formula unit: 0.000
# Crystal system: hexagonal
data_Pr5Y3Er3
_chemical_formula_sum 'Pr5 Y3 Er3'
_cell_length_a 3.483
_cell_length_b 11.340
_cell_length_c 11.340
_cell_angle_alpha 120.00
_cell_angle_beta 90.00
_cell_angle_gamma 90.00
_symmetry_space_group_name_H-M 'P 1'
_symmetry_Int_Tables_number 1
loop_
_symmetry_equiv_pos_as_xyz
'x,y,z'
loop_
_atom_site_label
_atom_site_fract_x
_atom_site_fract_y
_atom_site_fract_z
Pr1 0.500 0.667 0.333
Pr2 0.500 0.333 0.667
Pr3 0.500 0.337 0.000
Pr4 0.500 0.663 0.663
Pr5 0.500 0.000 0.337
Y1 0.000 0.596 0.000
Y2 0.000 0.000 0.596
Y3 0.000 0.404 0.404
Er1 0.500 0.842 0.000
Er2 0.500 0.158 0.158
Er3 0.500 0.000 0.842

Entry 7:
# Sc3AsSe PBE-GGA optimized geometry
# SG: Pm-3m
# Magnetization, μB per formula unit: 0.017
# Crystal system: cubic
# Uncorrected energy, eV per atom: -5.871
data_Sc3AsSe
_chemical_formula_sum 'Sc3 As1 Se1'
_cell_length_a 4.949
_cell_length_b 4.949
_cell_length_c 4.949
_cell_angle_alpha 90.00
_cell_angle_beta 90.00
_cell_angle_gamma 90.00
_symmetry_space_group_name_H-M 'P 1'
_symmetry_Int_Tables_number 1
loop_
_symmetry_equiv_pos_as_xyz
'x,y,z'
loop_
_atom_site_label
_atom_site_fract_x
_atom_site_fract_y
_atom_site_fract_z
Sc1 0.000 0.500 0.000
Sc2 0.000 0.000 0.500
Sc3 0.500 0.000 0.000
As1 0.500 0.500 0.500
Se1 0.000 0.000 0.000

Entry 8:
# HoCo3Ge3 PBE-GGA optimized geometry
# Formation energy, meV/atom: 45
# SG: Pm-3n
# Magnetization, μB per formula unit: 0.001
# Crystal system: cubic
data_HoCo3Ge3
_chemical_formula_sum 'Ho2 Co6 Ge6'
_cell_length_a 6.354
_cell_length_b 6.354
_cell_length_c 6.354
_cell_angle_alpha 90.00
_cell_angle_beta 90.00
_cell_angle_gamma 90.00
_symmetry_space_group_name_H-M 'P 1'
_symmetry_Int_Tables_number 1
loop_
_symmetry_equiv_pos_as_xyz
'x,y,z'
loop_
_atom_site_label
_atom_site_fract_x
_atom_site_fract_y
_atom_site_fract_z
Ge1 0.000 0.250 0.500
Ge2 0.000 0.750 0.500
Ge3 0.500 0.000 0.750
Ge4 0.750 0.500 0.000
Ge5 0.500 0.000 0.250
Ge6 0.250 0.500 0.000
Co1 0.250 0.000 0.500
Co2 0.000 0.500 0.250
Co3 0.500 0.750 0.000
Co4 0.750 0.000 0.500
Co5 0.000 0.500 0.750
Co6 0.500 0.250 0.000
Ho1 0.500 0.500 0.500
Ho2 0.000 0.000 0.000

Entry 9:
# BaSi2Os PBE-GGA optimized geometry
# SG: C2/m
# Magnetization, μB per formula unit: 0.000
# Crystal system: monoclinic
# Uncorrected energy, eV per atom: -5.058
data_BaSi2Os
_chemical_formula_sum 'Ba1 Si2 Os1'
_cell_length_a 5.012
_cell_length_b 5.012
_cell_length_c 3.426
_cell_angle_alpha 78.44
_cell_angle_beta 78.44
_cell_angle_gamma 99.15
_symmetry_space_group_name_H-M 'P 1'
_symmetry_Int_Tables_number 1
loop_
_symmetry_equiv_pos_as_xyz
'x,y,z'
loop_
_atom_site_label
_atom_site_fract_x
_atom_site_fract_y
_atom_site_fract_z
Ba1 0.500 0.000 0.500
Os1 0.000 0.500 0.500
Si1 0.000 0.000 0.000
Si2 0.500 0.500 0.000

Entry 10:
# ScGe2Se PBE-GGA optimized geometry
# SG: I-42d
# Magnetization, μB per formula unit: 0.000
# Crystal system: tetragonal
# Uncorrected energy, eV per atom: -4.942
data_ScGe2Se
_chemical_formula_sum 'Sc2 Ge4 Se2'
_cell_length_a 7.801
_cell_length_b 7.801
_cell_length_c 6.159
_cell_angle_alpha 50.70
_cell_angle_beta 50.70
_cell_angle_gamma 90.00
_symmetry_space_group_name_H-M 'P 1'
_symmetry_Int_Tables_number 1
loop_
_symmetry_equiv_pos_as_xyz
'x,y,z'
loop_
_atom_site_label
_atom_site_fract_x
_atom_site_fract_y
_atom_site_fract_z
Sc1 0.500 0.500 0.000
Sc2 0.250 0.750 0.500
Ge1 0.631 0.125 0.250
Ge2 0.119 0.625 0.250
Ge3 0.375 0.369 0.750
Ge4 0.875 0.881 0.750
Se1 0.000 0.000 0.000
Se2 0.750 0.250 0.500

Entry 11:
# Y3Ge4Ru2 PBE-GGA optimized geometry
# Formation energy, meV/atom: -768
# SG: C2/m
# Magnetization, μB per formula unit: 0.000
# Crystal system: monoclinic
data_Y3Ge4Ru2
_chemical_formula_sum 'Y3 Ge4 Ru2'
_cell_length_a 4.353
_cell_length_b 5.796
_cell_length_c 8.191
_cell_angle_alpha 108.05
_cell_angle_beta 90.00
_cell_angle_gamma 112.06
_symmetry_space_group_name_H-M 'P 1'
_symmetry_Int_Tables_number 1
loop_
_symmetry_equiv_pos_as_xyz
'x,y,z'
loop_
_atom_site_label
_atom_site_fract_x
_atom_site_fract_y
_atom_site_fract_z
Y1 0.623 0.245 0.697
Y2 0.000 0.000 0.000
Y3 0.377 0.755 0.303
Ge1 0.714 0.427 0.078
Ge2 0.286 0.573 0.922
Ge3 0.906 0.811 0.596
Ge4 0.094 0.189 0.404
Ru1 0.681 0.363 0.360
Ru2 0.319 0.637 0.640

Entry 12:
# CdHgAs2 PBE-GGA optimized geometry
# Formation energy, meV/atom: 193
# SG: P2/m
# Magnetization, μB per formula unit: 0.000
# Crystal system: monoclinic
data_CdHgAs2
_chemical_formula_sum 'Cd1 Hg1 As2'
_cell_length_a 4.867
_cell_length_b 2.944
_cell_length_c 6.617
_cell_angle_alpha 90.19
_cell_angle_beta 90.00
_cell_angle_gamma 90.00
_symmetry_space_group_name_H-M 'P 1'
_symmetry_Int_Tables_number 1
loop_
_symmetry_equiv_pos_as_xyz
'x,y,z'
loop_
_atom_site_label
_atom_site_fract_x
_atom_site_fract_y
_atom_site_fract_z
As1 0.000 0.747 0.057
As2 0.000 0.753 0.443
Hg1 0.500 0.750 0.750
Cd1 0.500 0.250 0.250